The following is a DFT calculation (GGA-PBE) of a geometry-optimized YTmTlAu structure.

```
YTmTlAu
1.0
-2.5993 3.8772 -2.3164
-3.5877 -1.0690 -3.6250
-5.0533 0.7348 1.0390
Y Tl Tm Au
1 1 1 1
Direct
0.2500 0.2500 0.2500
0.0000 0.0000 0.0000
0.7500 0.7500 0.7500
0.5000 0.5000 0.5000
```

Output
VASP energy = -4.721 eV per atom
DFT formation energy = -0.58 eV/atom
energy above the most stable polymorph in this dataset = 0.042 eV/atom

The following is a DFT calculation (GGA-PBE) of a geometry-optimized PaMn4Ni15 structure.

```
PaMn4Ni15
1.0
3.6712 0.0000 0.0000
0.0000 3.6712 0.0000
0.0000 0.0000 17.7981
Pa Mn Ni
1 4 15
Direct
0.0000 0.0000 0.0000
0.0000 0.0000 0.2101
0.0000 0.0000 0.4033
0.0000 0.0000 0.5967
0.0000 0.0000 0.7899
0.5000 0.5000 0.0000
0.5000 0.5000 0.2091
0.5000 0.5000 0.4032
0.5000 0.5000 0.5968
0.5000 0.5000 0.7909
0.5000 0.0000 0.1090
0.5000 0.0000 0.3064
0.5000 0.0000 0.5000
0.5000 0.0000 0.6936
0.5000 0.0000 0.8910
0.0000 0.5000 0.1090
0.0000 0.5000 0.3064
0.0000 0.5000 0.5000
0.0000 0.5000 0.6936
0.0000 0.5000 0.8910
```

Output
VASP energy = -6.782 eV per atom
DFT formation energy = -0.14 eV/atom

The following is a DFT calculation (GGA-PBE) of a geometry-optimized TbMg2Hg4 structure.

```
TbMg2Hg4
1.0
4.6909 0.0000 1.4656
2.1165 4.1863 1.4656
-0.1369 -0.0842 8.6782
Tb Mg Hg
1 2 4
Direct
0.0000 0.0000 0.0000
0.7515 0.7515 0.7455
0.2485 0.2485 0.2545
0.8700 0.8700 0.3900
0.1300 0.1300 0.6100
0.6135 0.6135 0.1596
0.3865 0.3865 0.8404
```

Output
VASP energy = -1.564 eV per atom
DFT formation energy = -0.27 eV/atom

The following is a DFT calculation (GGA-PBE) of a geometry-optimized Tb3OsI structure.

```
Tb3OsI
1.0
-2.0186 -3.3600 -0.3090
7.5123 -2.1846 -0.3046
-2.3518 0.5161 9.7526
Tb Os I
6 2 2
Direct
0.0260 0.0519 0.3558
0.9740 0.9481 0.6442
0.3416 0.6833 0.1240
0.6584 0.3167 0.8760
0.2367 0.4733 0.6431
0.7633 0.5267 0.3569
0.5990 0.1980 0.5767
0.4010 0.8020 0.4233
0.8778 0.7556 0.8852
0.1222 0.2444 0.1148
```

Output
VASP energy = -5.768 eV per atom
ΔE_f (raw) = -0.434 eV/atom

The following is a DFT calculation (GGA-PBE) of a geometry-optimized CdPSe2 structure.

```
CdPSe2
1.0
-1.9285 2.1455 5.6590
1.9285 -2.1455 5.6590
1.9285 2.1455 -5.6590
Cd P Se
1 1 2
Direct
0.0000 0.5000 0.5000
0.5000 0.0000 0.5000
0.6636 0.6636 0.0000
0.3364 0.3364 0.0000
```

Output
VASP energy = -3.138 eV per atom
energy above the most stable polymorph in this dataset = 0.217 eV/atom
ΔE_f (raw) = 0.185 eV/atom

The following is a DFT calculation (GGA-PBE) of a geometry-optimized Er2CrCu structure.

```
Er2CrCu
1.0
-1.2770 2.9643 -1.2752
-2.1800 -1.8036 -2.0097
-4.7922 0.1240 5.0871
Cr Cu Er
1 1 2
Direct
0.5000 0.5000 0.5000
0.5000 0.5000 0.0000
0.0000 0.0000 0.7550
0.0000 0.0000 0.2450
```

Output
VASP energy = -5.656 eV per atom
DFT formation energy = 0.06 eV/atom